Density functional theory data (PBE-GGA) for a relaxed Al2TlPb crystal.

## Properties
Total magnetization ... 0.00 μB/cell
Total DFT energy (no corrections) ... -3.076 eV per atom
Formation energy from the elements ... 30.3 kJ/mol of atoms
Excess energy over the best structure of this formula in the dataset ... 0.162 eV/atom
Space-group type ... P2/m

Cell lengths 3.303, 4.998, 6.198 Å; angles 90.00, 100.32, 90.00 degrees
Sites, in units of the cell vectors:
Al 0.200 0.000 0.237
Al 0.800 0.000 0.763
Tl 0.500 0.500 0.000
Pb 0.000 0.500 0.500

=====

Density functional theory data (PBE-GGA) for a relaxed Al2Tl2Pb crystal.

## Properties
Total magnetization ... 0.00 μB/cell
Total DFT energy (no corrections) ... -2.974 eV per atom
Formation energy from the elements ... 20.4 kJ/mol of atoms
Excess energy over the best structure of this formula in the dataset ... 0.000 eV/atom
Space-group type ... I4/mmm

Cell lengths 9.834, 9.834, 9.834 Å; angles 157.73, 157.73, 31.70 degrees
Sites, in units of the cell vectors:
Al 0.250 0.750 0.500
Al 0.750 0.250 0.500
Tl 0.115 0.115 0.000
Tl 0.885 0.885 0.000
Pb 0.500 0.500 0.000

=====

Density functional theory data (PBE-GGA) for a relaxed Al2TlPb crystal.

## Properties
Total magnetization ... 0.00 μB/cell
Total DFT energy (no corrections) ... -3.100 eV per atom
Formation energy from the elements ... 28.0 kJ/mol of atoms
Excess energy over the best structure of this formula in the dataset ... 0.138 eV/atom
Space-group type ... Pmmm

Cell lengths 3.492, 4.180, 6.773 Å; angles 90.00, 90.00, 90.00 degrees
Sites, in units of the cell vectors:
Al 0.000 0.000 0.235
Al 0.000 0.000 0.765
Tl 0.500 0.500 0.000
Pb 0.500 0.500 0.500

=====

Density functional theory data (PBE-GGA) for a relaxed Al2TlPb2 crystal.

## Properties
Total magnetization ... 0.00 μB/cell
Total DFT energy (no corrections) ... -3.254 eV per atom
Formation energy from the elements ... 19.3 kJ/mol of atoms
Excess energy over the best structure of this formula in the dataset ... 0.057 eV/atom
Space-group type ... P4/mbm

Cell lengths 8.795, 8.795, 3.469 Å; angles 90.00, 90.00, 90.00 degrees
Sites, in units of the cell vectors:
Al 0.116 0.384 0.000
Al 0.384 0.884 0.000
Al 0.616 0.116 0.000
Al 0.884 0.616 0.000
Tl 0.000 0.000 0.000
Tl 0.500 0.500 0.000
Pb 0.176 0.676 0.500
Pb 0.324 0.176 0.500
Pb 0.676 0.824 0.500
Pb 0.824 0.324 0.500

=====

Density functional theory data (PBE-GGA) for a relaxed Al2TlPb crystal.

## Properties
Total magnetization ... 0.00 μB/cell
Total DFT energy (no corrections) ... -3.094 eV per atom
Formation energy from the elements ... 28.6 kJ/mol of atoms
Excess energy over the best structure of this formula in the dataset ... 0.144 eV/atom
Space-group type ... R-3m

Cell lengths 11.131, 11.131, 11.131 Å; angles 16.78, 16.78, 16.78 degrees
Sites, in units of the cell vectors:
Al 0.245 0.245 0.245
Al 0.755 0.755 0.755
Tl 0.500 0.500 0.500
Pb 0.000 0.000 0.000

=====

Density functional theory data (PBE-GGA) for a relaxed Al2TlPb2 crystal.

## Properties
Total magnetization ... 0.00 μB/cell
Total DFT energy (no corrections) ... -3.311 eV per atom
Formation energy from the elements ... 13.8 kJ/mol of atoms
Excess energy over the best structure of this formula in the dataset ... 0.000 eV/atom
Space-group type ... I4/mmm

Cell lengths 9.562, 9.562, 9.562 Å; angles 156.26, 156.26, 33.82 degrees
Sites, in units of the cell vectors:
Al 0.250 0.750 0.500
Al 0.750 0.250 0.500
Tl 0.000 0.000 0.000
Pb 0.375 0.375 0.000
Pb 0.625 0.625 0.000

=====

Density functional theory data (PBE-GGA) for a relaxed Al2TlPb crystal.

## Properties
Total magnetization ... 0.00 μB/cell
Total DFT energy (no corrections) ... -3.197 eV per atom
Formation energy from the elements ... 18.6 kJ/mol of atoms
Excess energy over the best structure of this formula in the dataset ... 0.041 eV/atom
Space-group type ... R3m

Cell lengths 11.120, 11.120, 11.120 Å; angles 16.74, 16.74, 16.74 degrees
Sites, in units of the cell vectors:
Al 0.000 0.000 0.000
Al 0.266 0.266 0.266
Tl 0.746 0.746 0.746
Pb 0.514 0.514 0.514

=====

Density functional theory data (PBE-GGA) for a relaxed AlTl3Pb crystal.

## Properties
Total magnetization ... 0.00 μB/cell
Total DFT energy (no corrections) ... -2.235 eV per atom
Formation energy from the elements ... 65.2 kJ/mol of atoms
Excess energy over the best structure of this formula in the dataset ... 0.367 eV/atom
Space-group type ... Pm-3m

Cell lengths 5.993, 5.993, 5.993 Å; angles 90.00, 90.00, 90.00 degrees
Sites, in units of the cell vectors:
Al 0.000 0.000 0.000
Tl 0.000 0.500 0.500
Tl 0.500 0.000 0.500
Tl 0.500 0.500 0.000
Pb 0.500 0.500 0.500

=====

Question: Which of these has the highest formation energy from the elements?
Answer: AlTl3Pb

=====

Question: What is the excess energy over the best structure of this formula in the dataset in the sixth record?
Answer: 0.000 eV/atom